(1)
VASP calculation (GGA-PBE) on a relaxed CeIn3Pt12 crystal.

Properties
* space-group type: P4/mmm (123)
* E_form: -51.47 kJ per mole of atoms

Unit cell a=4.093 b=4.093 c=16.252 alpha=90.00 beta=90.00 gamma=90.00
Sites, in units of the cell vectors:
Ce1 0.000 0.000 0.000
In1 0.000 0.000 0.255
In2 0.000 0.000 0.500
In3 0.000 0.000 0.745
Pt1 0.000 0.500 0.129
Pt2 0.000 0.500 0.377
Pt3 0.000 0.500 0.623
Pt4 0.000 0.500 0.871
Pt5 0.500 0.000 0.129
Pt6 0.500 0.000 0.377
Pt7 0.500 0.000 0.623
Pt8 0.500 0.000 0.871
Pt9 0.500 0.500 0.000
Pt10 0.500 0.500 0.254
Pt11 0.500 0.500 0.500
Pt12 0.500 0.500 0.746

(2)
VASP calculation (GGA-PBE) on a relaxed Ce12InPt7 crystal.

Properties
* space-group type: I4/mcm (140)
* E_form: -77.74 kJ per mole of atoms

Unit cell a=11.062 b=11.062 c=11.062 alpha=114.48 beta=114.48 gamma=99.87
Sites, in units of the cell vectors:
Ce1 0.066 0.927 0.279
Ce2 0.073 0.353 0.140
Ce3 0.146 0.646 0.500
Ce4 0.147 0.427 0.860
Ce5 0.175 0.325 0.500
Ce6 0.213 0.934 0.860
Ce7 0.287 0.147 0.721
Ce8 0.325 0.825 0.151
Ce9 0.353 0.213 0.279
Ce10 0.354 0.854 0.500
Ce11 0.427 0.566 0.279
Ce12 0.434 0.713 0.860
Ce13 0.566 0.287 0.140
Ce14 0.573 0.434 0.721
Ce15 0.646 0.146 0.500
Ce16 0.647 0.787 0.721
Ce17 0.675 0.175 0.849
Ce18 0.713 0.853 0.279
Ce19 0.787 0.066 0.140
Ce20 0.825 0.675 0.500
Ce21 0.853 0.573 0.140
Ce22 0.854 0.354 0.500
Ce23 0.927 0.647 0.860
Ce24 0.934 0.073 0.721
In1 0.000 0.000 0.000
In2 0.500 0.500 0.000
Pt1 0.019 0.868 0.500
Pt2 0.125 0.625 0.750
Pt3 0.132 0.632 0.151
Pt4 0.250 0.250 0.000
Pt5 0.368 0.519 0.500
Pt6 0.375 0.125 0.500
Pt7 0.481 0.981 0.849
Pt8 0.519 0.019 0.151
Pt9 0.625 0.875 0.500
Pt10 0.632 0.481 0.500
Pt11 0.750 0.750 0.000
Pt12 0.868 0.368 0.849
Pt13 0.875 0.375 0.250
Pt14 0.981 0.132 0.500

(3)
VASP calculation (GGA-PBE) on a relaxed Ce2InPt crystal.

Properties
* space-group type: R-3m (166)
* E_form: -55.78 kJ per mole of atoms

Unit cell a=3.958 b=3.958 c=25.369 alpha=90.00 beta=90.00 gamma=120.00
Sites, in units of the cell vectors:
Ce1 0.000 0.000 0.236
Ce2 0.000 0.000 0.764
Ce3 0.333 0.667 0.431
Ce4 0.333 0.667 0.903
Ce5 0.667 0.333 0.097
Ce6 0.667 0.333 0.569
In1 0.000 0.000 0.000
In2 0.333 0.667 0.667
In3 0.667 0.333 0.333
Pt1 0.000 0.000 0.500
Pt2 0.333 0.667 0.167
Pt3 0.667 0.333 0.833

(4)
VASP calculation (GGA-PBE) on a relaxed CeIn4Pt2 crystal.

Properties
* space-group type: P4_2/mnm (136)
* E_form: -48.95 kJ per mole of atoms

Unit cell a=8.995 b=8.995 c=3.988 alpha=90.00 beta=90.00 gamma=90.00
Sites, in units of the cell vectors:
Ce1 0.000 0.000 0.000
Ce2 0.500 0.500 0.500
In1 0.090 0.327 0.500
In2 0.173 0.590 0.000
In3 0.327 0.090 0.500
In4 0.410 0.827 0.000
In5 0.590 0.173 0.000
In6 0.673 0.910 0.500
In7 0.827 0.410 0.000
In8 0.910 0.673 0.500
Pt1 0.179 0.821 0.500
Pt2 0.321 0.321 0.000
Pt3 0.679 0.679 0.000
Pt4 0.821 0.179 0.500